Entry 1:
# Pr3SiSe2N3

A relaxed structure of Pr3SiSe2N3 (PBE, Alexandria).

a = 11.6011 Å, b = 11.6011 Å, c = 11.6011 Å
α = 111.14°, β = 111.14°, γ = 111.14°
Last column: nearest neighbours and their distance in Å.
Fractional positions:
Pr 0.1232 0.9615 0.2451  4 N 2.48-2.60
Pr 0.2999 0.6770 0.3888  2 N 2.33-2.44
Pr 0.8768 0.0385 0.7549  4 N 2.48-2.60
Pr 0.3230 0.6112 0.7001  2 N 2.33-2.44
Pr 0.8220 0.5511 0.0376  2 N 2.39-2.53
Pr 0.7001 0.3230 0.6112  2 N 2.33-2.44
Pr 0.9615 0.2451 0.1232  4 N 2.48-2.60
Pr 0.0385 0.7549 0.8768  4 N 2.48-2.60
Pr 0.4489 0.9624 0.1780  2 N 2.39-2.53
Pr 0.3888 0.2999 0.6770  2 N 2.33-2.44
Pr 0.5511 0.0376 0.8220  2 N 2.39-2.53
Pr 0.2451 0.1232 0.9615  4 N 2.48-2.60
Pr 0.0376 0.8220 0.5511  2 N 2.39-2.53
Pr 0.6112 0.7001 0.3230  2 N 2.33-2.44
Pr 0.1780 0.4489 0.9624  2 N 2.39-2.53
Pr 0.7549 0.8768 0.0385  4 N 2.48-2.60
Pr 0.9624 0.1780 0.4489  2 N 2.39-2.53
Pr 0.6770 0.3888 0.2999  2 N 2.33-2.44
Si 0.2876 0.3871 0.2059  4 N 1.73-1.80
Si 0.6129 0.7941 0.7124  4 N 1.73-1.80
Si 0.3871 0.2059 0.2876  4 N 1.73-1.80
Si 0.7941 0.7124 0.6129  4 N 1.73-1.80
Si 0.2059 0.2876 0.3871  4 N 1.73-1.80
Si 0.7124 0.6129 0.7941  4 N 1.73-1.80
Se 0.2936 0.8742 0.8339  6 Pr 2.99-3.28
Se 0.8339 0.2936 0.8742  6 Pr 2.99-3.28
Se 0.0089 0.4615 0.6756  5 Pr 3.01-3.29
Se 0.6756 0.0089 0.4615  5 Pr 3.01-3.29
Se 0.5385 0.3244 0.9911  5 Pr 3.01-3.29
Se 0.3244 0.9911 0.5385  5 Pr 3.01-3.29
Se 0.1258 0.1661 0.7064  6 Pr 2.99-3.28
Se 0.1661 0.7064 0.1258  6 Pr 2.99-3.28
Se 0.7064 0.1258 0.1661  6 Pr 2.99-3.28
Se 0.4615 0.6756 0.0089  5 Pr 3.01-3.29
Se 0.9911 0.5385 0.3244  5 Pr 3.01-3.29
Se 0.8742 0.8339 0.2936  6 Pr 2.99-3.28
N 0.4462 0.7821 0.6444  1 Si 1.73
N 0.7489 0.9813 0.8773  1 Si 1.80
N 0.2313 0.4094 0.3292  2 Si 1.75
N 0.2511 0.0187 0.1227  1 Si 1.80
N 0.1227 0.2511 0.0187  1 Si 1.80
N 0.7687 0.5906 0.6708  2 Si 1.75
N 0.0187 0.1227 0.2511  1 Si 1.80
N 0.9813 0.8773 0.7489  1 Si 1.80
N 0.4094 0.3292 0.2313  2 Si 1.75
N 0.8773 0.7489 0.9813  1 Si 1.80
N 0.5906 0.6708 0.7687  2 Si 1.75
N 0.2179 0.3556 0.5538  1 Si 1.73
N 0.7821 0.6444 0.4462  1 Si 1.73
N 0.6708 0.7687 0.5906  2 Si 1.75
N 0.5538 0.2179 0.3556  1 Si 1.73
N 0.3292 0.2313 0.4094  2 Si 1.75
N 0.3556 0.5538 0.2179  1 Si 1.73
N 0.6444 0.4462 0.7821  1 Si 1.73

Properties
calculated volume: 1122 Å³/cell
density of states at the Fermi level: 0.000 states/eV per atom
formation energy without anion corrections: -1.578 eV/atom

Entry 2:
# CsMg3Sb

A relaxed structure of CsMg3Sb (PBE, Alexandria).

a = 5.9094 Å, b = 5.9094 Å, c = 5.9094 Å
α = 90.00°, β = 90.00°, γ = 90.00°
Last column: nearest neighbours and their distance in Å.
Fractional positions:
Cs 0.5000 0.5000 0.5000  12 Mg 4.18
Sb 0.0000 0.0000 0.0000  6 Mg 2.95
Mg 0.0000 0.5000 0.0000  2 Sb 2.95
Mg 0.0000 0.0000 0.5000  2 Sb 2.95
Mg 0.5000 0.0000 0.0000  2 Sb 2.95

Properties
calculated volume: 206 Å³/cell
ΔE to the lowest computed polymorph: 0 meV per atom
density of states at the Fermi level: 0.580 states/eV per atom
formation energy without anion corrections: 0.276 eV/atom

Entry 3:
# Ac5Pr2Y5

A relaxed structure of Ac5Pr2Y5 (PBE, Alexandria).

a = 5.3244 Å, b = 8.4104 Å, c = 11.3405 Å
α = 72.92°, β = 76.42°, γ = 71.55°
Last column: nearest neighbours and their distance in Å.
Fractional positions:
Ac 0.8380 0.8269 0.4971  2 Pr 3.72-3.83, 5 Y 3.72-3.88, 5 Ac 3.83-3.87
Ac 0.2519 0.7418 0.7543  6 Y 3.70-3.84, 2 Pr 3.76, 4 Ac 3.77-3.87
Ac 0.7481 0.2582 0.2457  6 Y 3.70-3.84, 2 Pr 3.76, 4 Ac 3.77-3.87
Ac 0.1620 0.1731 0.5029  2 Pr 3.72-3.83, 5 Y 3.72-3.88, 5 Ac 3.83-3.87
Ac 0.0000 0.0000 0.0000  2 Pr 3.71, 8 Y 3.76-3.78, 2 Ac 3.77
Pr 0.9175 0.4094 0.7556  7 Y 3.70-3.82, 5 Ac 3.71-3.83
Pr 0.0825 0.5906 0.2444  7 Y 3.70-3.82, 5 Ac 3.71-3.83
Y 0.5000 0.5000 0.5000  6 Ac 3.72-3.76, 2 Y 3.76, 4 Pr 3.82
Y 0.3321 0.3353 0.0005  5 Ac 3.70-3.78, 4 Y 3.73-3.81, 3 Pr 3.74
Y 0.4207 0.9109 0.2477  2 Pr 3.70, 3 Y 3.73-3.81, 7 Ac 3.76-3.88
Y 0.5793 0.0891 0.7523  2 Pr 3.70, 3 Y 3.73-3.81, 7 Ac 3.76-3.88
Y 0.6679 0.6647 0.9995  5 Ac 3.70-3.78, 4 Y 3.73-3.81, 3 Pr 3.74

Properties
E_form: 0.04 eV/atom
calculated volume: 455 Å³/cell
density of states at the Fermi level: 1.515 states/eV per atom

Entry 4:
# Ba2RuCN

A relaxed structure of Ba2RuCN (PBE, Alexandria).

a = 5.6943 Å, b = 3.8533 Å, c = 5.6943 Å
α = 90.00°, β = 90.00°, γ = 90.00°
Last column: nearest neighbours and their distance in Å.
Fractional positions:
Ru 0.0000 0.5000 0.0000  2 C 1.93
C 0.0000 0.0000 0.0000  2 Ru 1.93
Ba 0.0000 0.0000 0.5000  2 C 2.85
Ba 0.5000 0.0000 0.0000  2 C 2.85
N 0.5000 0.5000 0.5000  8 Ba 3.44

Properties
calculated volume: 125 Å³/cell
density of states at the Fermi level: 0.977 states/eV per atom
formation energy without anion corrections: 0.662 eV/atom

Entry 5:
# Pa2NbPd

A relaxed structure of Pa2NbPd (PBE, Alexandria).

a = 3.6145 Å, b = 3.6145 Å, c = 6.7228 Å
α = 90.00°, β = 90.00°, γ = 90.00°
Last column: nearest neighbours and their distance in Å.
Fractional positions:
Nb 0.5000 0.5000 0.0000  8 Pa 3.07, 2 Pd 3.36
Pa 0.0000 0.0000 0.7461  4 Pd 3.04, 4 Nb 3.07, 1 Pa 3.31
Pa 0.0000 0.0000 0.2539  4 Pd 3.04, 4 Nb 3.07, 1 Pa 3.31
Pd 0.5000 0.5000 0.5000  8 Pa 3.04, 2 Nb 3.36

Properties
E_form: -0.04 eV/atom
calculated volume: 88 Å³/cell
ΔE to the lowest computed polymorph: 0 meV per atom
density of states at the Fermi level: 1.583 states/eV per atom

Entry 6:
# CrRuPb2

A relaxed structure of CrRuPb2 (PBE, Alexandria).

a = 3.9531 Å, b = 4.2088 Å, c = 5.5383 Å
α = 67.82°, β = 90.00°, γ = 90.00°
Last column: nearest neighbours and their distance in Å.
Fractional positions:
Cr 0.5000 0.5604 0.7541  2 Ru 2.37
Pb 0.0000 0.9785 0.9192  3 Ru 2.97-3.02, 4 Cr 3.01
Pb 0.5000 0.2722 0.3291  3 Cr 2.95-3.03, 4 Ru 3.01-3.02
Ru 0.0000 0.6889 0.4977  2 Cr 2.37

Properties
E_form: 0.47 eV/atom
calculated volume: 85 Å³/cell
ΔE to the lowest computed polymorph: 145 meV per atom
density of states at the Fermi level: 0.917 states/eV per atom

Entry 7:
# K2VCl

A relaxed structure of K2VCl (PBE, Alexandria).

a = 5.9595 Å, b = 5.9595 Å, c = 5.9595 Å
α = 60.00°, β = 60.00°, γ = 60.00°
Last column: nearest neighbours and their distance in Å.
Fractional positions:
K 0.2500 0.2500 0.2500  4 Cl 3.65, 4 V 3.65
K 0.7500 0.7500 0.7500  4 Cl 3.65, 4 V 3.65
V 0.5000 0.5000 0.5000  8 K 3.65
Cl 0.0000 0.0000 0.0000  8 K 3.65

Properties
calculated volume: 150 Å³/cell
ΔE to the lowest computed polymorph: 102 meV per atom
density of states at the Fermi level: 1.468 states/eV per atom
formation energy without anion corrections: 0.228 eV/atom

Entry 8:
# OsAuBr2

A relaxed structure of OsAuBr2 (PBE, Alexandria).

a = 4.9449 Å, b = 4.9449 Å, c = 3.1834 Å
α = 90.00°, β = 90.00°, γ = 100.68°
Last column: nearest neighbours and their distance in Å.
Fractional positions:
Os 0.5000 0.0000 0.5000  8 Br 2.94, 2 Au 3.16, 2 Os 3.18
Au 0.0000 0.5000 0.5000  8 Br 2.94, 2 Os 3.16, 2 Au 3.18
Br 0.0000 0.0000 0.0000  4 Au 2.94, 4 Os 2.94, 4 Br 3.16-3.18
Br 0.5000 0.5000 0.0000  4 Os 2.94, 4 Au 2.94, 4 Br 3.16-3.18

Properties
calculated volume: 76 Å³/cell
ΔE to the lowest computed polymorph: 874 meV per atom
density of states at the Fermi level: 0.872 states/eV per atom
formation energy without anion corrections: 1.302 eV/atom

Entry 9:
# TbCeGaNi

A relaxed structure of TbCeGaNi (PBE, Alexandria).

a = 4.9938 Å, b = 4.9938 Å, c = 4.9938 Å
α = 60.00°, β = 60.00°, γ = 60.00°
Last column: nearest neighbours and their distance in Å.
Fractional positions:
Ni 0.2500 0.2500 0.2500  4 Tb 3.06, 4 Ce 3.06
Tb 0.0000 0.0000 0.0000  4 Ga 3.06, 4 Ni 3.06
Ga 0.7500 0.7500 0.7500  4 Tb 3.06, 4 Ce 3.06
Ce 0.5000 0.5000 0.5000  4 Ni 3.06, 4 Ga 3.06

Properties
E_form: -0.35 eV/atom
calculated volume: 88 Å³/cell
density of states at the Fermi level: 1.322 states/eV per atom

Entry 10:
# NdThTc

A relaxed structure of NdThTc (PBE, Alexandria).

a = 4.6438 Å, b = 4.6401 Å, c = 9.3916 Å
α = 104.32°, β = 90.00°, γ = 120.03°
Last column: nearest neighbours and their distance in Å.
Fractional positions:
Nd 0.3703 0.7407 0.1116  3 Tc 3.06, 3 Nd 3.35
Nd 0.6297 0.2593 0.8884  3 Tc 3.06, 3 Nd 3.35
Th 0.7896 0.5793 0.3696  3 Tc 2.81
Th 0.2104 0.4207 0.6304  3 Tc 2.81
Tc 0.9084 0.8168 0.7242  3 Th 2.81, 3 Nd 3.06
Tc 0.0916 0.1832 0.2758  3 Th 2.81, 3 Nd 3.06

Properties
E_form: 0.07 eV/atom
calculated volume: 168 Å³/cell
ΔE to the lowest computed polymorph: 54 meV per atom
density of states at the Fermi level: 0.754 states/eV per atom

Entry 11:
# Sm3PaTl4S8

A relaxed structure of Sm3PaTl4S8 (PBE, Alexandria).

a = 8.2007 Å, b = 8.9382 Å, c = 8.2011 Å
α = 117.32°, β = 120.00°, γ = 90.00°
Last column: nearest neighbours and their distance in Å.
Fractional positions:
Sm 0.5000 0.5000 0.0000  6 S 2.81-2.84
Sm 0.5000 0.5000 0.5000  6 S 2.81-2.84
Sm 0.0000 0.5000 0.5000  6 S 2.81-2.84
Pa 0.0000 0.5000 0.0000  6 S 2.76
Tl 0.5000 0.0000 0.0000  6 S 3.33
Tl 0.5000 0.0000 0.5000  6 S 3.26-3.28
Tl 0.0000 0.0000 0.0000  6 S 3.26-3.28
Tl 0.0000 0.0000 0.5000  6 S 3.26-3.28
S 0.2288 0.6996 0.9709  1 Pa 2.76, 2 Sm 2.84
S 0.2288 0.6996 0.4577  1 Pa 2.76, 2 Sm 2.84
S 0.2664 0.2994 0.5328  3 Sm 2.81
S 0.7421 0.6996 0.9709  1 Pa 2.76, 2 Sm 2.84
S 0.2579 0.3004 0.0291  1 Pa 2.76, 2 Sm 2.84
S 0.7336 0.7006 0.4672  3 Sm 2.81
S 0.7712 0.3004 0.5423  1 Pa 2.76, 2 Sm 2.84
S 0.7712 0.3004 0.0291  1 Pa 2.76, 2 Sm 2.84

Properties
calculated volume: 441 Å³/cell
density of states at the Fermi level: 0.617 states/eV per atom
formation energy without anion corrections: -1.360 eV/atom

Entry 12:
# PrEr7Tl4

A relaxed structure of PrEr7Tl4 (PBE, Alexandria).

a = 5.7117 Å, b = 9.1897 Å, c = 7.8587 Å
α = 72.99°, β = 68.69°, γ = 71.89°
Last column: nearest neighbours and their distance in Å.
Fractional positions:
Pr 0.0000 0.0000 0.0000  2 Er 2.86
Er 0.7914 0.8773 0.5399  4 Tl 3.26-3.46, 3 Er 3.41-3.55
Er 0.2086 0.1227 0.4601  4 Tl 3.26-3.46, 3 Er 3.41-3.55
Er 0.0640 0.5993 0.2726  3 Tl 3.15-3.28, 3 Er 3.41-3.48
Er 0.9360 0.4007 0.7274  3 Tl 3.15-3.28, 3 Er 3.41-3.48
Er 0.2723 0.6679 0.7874  4 Tl 2.98-3.13
Er 0.5000 0.0000 0.0000  2 Pr 2.86, 4 Tl 2.98-3.14
Er 0.7277 0.3321 0.2126  4 Tl 2.98-3.13
Tl 0.5603 0.2517 0.6276  4 Er 2.98-3.28, 1 Tl 3.23
Tl 0.4397 0.7483 0.3724  4 Er 2.98-3.28, 1 Tl 3.23
Tl 0.6859 0.6662 0.9619  6 Er 2.98-3.26, 1 Tl 3.23
Tl 0.3141 0.3338 0.0381  6 Er 2.98-3.26, 1 Tl 3.23

Properties
E_form: 0.00 eV/atom
calculated volume: 358 Å³/cell
density of states at the Fermi level: 1.010 states/eV per atom